# HoSi2Pt | Alexandria via LeMat-Bulk | PBE | relaxed
data_HoSi2Pt
_chemical_formula_sum 'Ho8 Si16 Pt8'
_symmetry_space_group_name_H-M 'I m m m'
_symmetry_Int_Tables_number 71
_symmetry_space_group_name_Hall '-I 2 2'
_cell_length_a 4.248
_cell_length_b 8.484
_cell_length_c 15.973
_cell_angle_alpha 90.00
_cell_angle_beta 90.00
_cell_angle_gamma 90.00
loop_
_atom_site_label
_atom_site_fract_x
_atom_site_fract_y
_atom_site_fract_z
Ho1 0.000 0.000 0.201
Ho2 0.000 0.238 0.000
Si1 0.000 0.000 0.427
Si2 0.000 0.352 0.200
Si3 0.000 0.500 0.427
Pt1 0.000 0.247 0.352
# - DFT total energy (eV per formula unit) = -25.404
# - spin magnetization (μB per formula unit) = 0.0
# - ΔE_f (raw) (eV/atom) = -0.98

---

# CdRu2O | Alexandria via LeMat-Bulk | PBE | relaxed
data_CdRu2O
_chemical_formula_sum 'Cd4 Ru8 O4'
_symmetry_space_group_name_H-M 'F m -3 m'
_symmetry_Int_Tables_number 225
_symmetry_space_group_name_Hall '-F 4 2 3'
_cell_length_a 6.197
_cell_length_b 6.197
_cell_length_c 6.197
_cell_angle_alpha 90.00
_cell_angle_beta 90.00
_cell_angle_gamma 90.00
loop_
_atom_site_label
_atom_site_fract_x
_atom_site_fract_y
_atom_site_fract_z
Cd1 0.000 0.000 0.000
Ru1 0.250 0.250 0.250
O1 0.000 0.000 0.500
# - DFT total energy (eV per formula unit) = -20.175
# - spin magnetization (μB per formula unit) = 3.8
# - distance to the lowest polymorph of the same formula (meV per atom) = 835
# - ΔE_f (raw) (eV/atom) = 1.06

---

# Na2Ge2Se5 | Alexandria via LeMat-Bulk | PBE | relaxed
data_Na2Ge2Se5
_chemical_formula_sum 'Na4 Ge4 Se10'
_symmetry_space_group_name_H-M 'C 1 2/m 1'
_symmetry_Int_Tables_number 12
_symmetry_space_group_name_Hall '-C 2y'
_cell_length_a 13.345
_cell_length_b 5.304
_cell_length_c 7.289
_cell_angle_alpha 90.00
_cell_angle_beta 110.42
_cell_angle_gamma 90.00
loop_
_atom_site_label
_atom_site_fract_x
_atom_site_fract_y
_atom_site_fract_z
Na1 0.119 0.000 0.343
Ge1 0.158 0.500 0.874
Se1 0.000 0.500 0.000
Se2 0.126 0.500 0.530
Se3 0.146 0.000 0.950
# - DFT total energy (eV per formula unit) = -32.770
# - spin magnetization (μB per formula unit) = 0.7
# - distance to the lowest polymorph of the same formula (meV per atom) = 225
# - ΔE_f (raw) (eV/atom) = -0.39

---

# TcMo2Ru | Alexandria via LeMat-Bulk | PBE | relaxed
data_TcMo2Ru
_chemical_formula_sum 'Tc1 Mo2 Ru1'
_symmetry_space_group_name_H-M 'P 1 m 1'
_symmetry_Int_Tables_number 6
_symmetry_space_group_name_Hall 'P -2y'
_cell_length_a 2.719
_cell_length_b 4.392
_cell_length_c 5.132
_cell_angle_alpha 90.00
_cell_angle_beta 97.84
_cell_angle_gamma 90.00
loop_
_atom_site_label
_atom_site_fract_x
_atom_site_fract_y
_atom_site_fract_z
Tc1 0.000 0.000 0.000
Mo1 0.505 0.000 0.505
Mo2 0.790 0.500 0.261
Ru1 0.410 0.500 0.767
# - DFT total energy (eV per formula unit) = -40.784
# - calculated formation energy (meV per atom) = 130
# - spin magnetization (μB per formula unit) = 0.0
# - distance to the lowest polymorph of the same formula (meV per atom) = 28